(1)
DFT (PBE-GGA) results for crystalline Ba2Ga6CoIr at its relaxed geometry.

a = 6.7019 Å, b = 6.7114 Å, c = 6.8443 Å
α = 60.76°, β = 60.75°, γ = 60.13°
Sites, in units of the cell vectors:
Ba 0.2238 0.2210 0.3289
Ba 0.7762 0.7790 0.6711
Ga 0.2565 0.2592 0.7954
Ga 0.2588 0.6878 0.7970
Ga 0.3117 0.7400 0.2037
Ga 0.6883 0.2600 0.7963
Ga 0.7412 0.3122 0.2030
Ga 0.7435 0.7408 0.2046
Co 0.5000 0.5000 0.5000
Ir 0.0000 0.0000 0.0000

- N(E_F) (states/eV per cell) = 4.277
- space-group type = P-1
- raw total energy (eV/atom) = -4.25
- formation enthalpy at 0 K (eV/atom) = -0.4545

(2)
DFT (PBE-GGA) results for crystalline Sr2MnAs at its relaxed geometry.

a = 7.5751 Å, b = 7.5751 Å, c = 7.5751 Å
α = 90.00°, β = 90.00°, γ = 90.00°
Sites, in units of the cell vectors:
Sr 0.0000 0.0000 0.0000
Sr 0.0000 0.5000 0.5000
Sr 0.2500 0.2500 0.2500
Sr 0.2500 0.7500 0.7500
Sr 0.5000 0.0000 0.5000
Sr 0.5000 0.5000 0.0000
Sr 0.7500 0.2500 0.7500
Sr 0.7500 0.7500 0.2500
Mn 0.0000 0.0000 0.5000
Mn 0.0000 0.5000 0.0000
Mn 0.5000 0.0000 0.0000
Mn 0.5000 0.5000 0.5000
As 0.2500 0.2500 0.7500
As 0.2500 0.7500 0.2500
As 0.7500 0.2500 0.2500
As 0.7500 0.7500 0.7500

- N(E_F) (states/eV per cell) = 16.526
- space-group type = F-43m
- raw total energy (eV/atom) = -4.07
- formation enthalpy at 0 K (eV/atom) = 0.2301

(3)
DFT (PBE-GGA) results for crystalline SrRe2Ir at its relaxed geometry.

a = 11.9057 Å, b = 2.7852 Å, c = 4.8797 Å
α = 90.00°, β = 114.12°, γ = 90.00°
Sites, in units of the cell vectors:
Sr 0.0000 0.0000 0.0000
Sr 0.5000 0.5000 0.0000
Re 0.2126 0.0000 0.7124
Re 0.2874 0.5000 0.2876
Re 0.7126 0.5000 0.7124
Re 0.7874 0.0000 0.2876
Ir 0.0000 0.5000 0.5000
Ir 0.5000 0.0000 0.5000

- N(E_F) (states/eV per cell) = 9.455
- space-group type = C2/m
- raw total energy (eV/atom) = -8.29
- formation enthalpy at 0 K (eV/atom) = 0.5656
- energy above the most stable polymorph in this dataset (meV/atom) = 122

(4)
DFT (PBE-GGA) results for crystalline Rb4PdI6 at its relaxed geometry.

a = 9.9679 Å, b = 9.9679 Å, c = 10.3486 Å
α = 90.00°, β = 90.00°, γ = 90.00°
Sites, in units of the cell vectors:
Rb 0.1750 0.3250 0.2500
Rb 0.1750 0.3250 0.7500
Rb 0.3250 0.8250 0.2500
Rb 0.3250 0.8250 0.7500
Rb 0.6750 0.1750 0.2500
Rb 0.6750 0.1750 0.7500
Rb 0.8250 0.6750 0.2500
Rb 0.8250 0.6750 0.7500
Pd 0.0000 0.0000 0.0000
Pd 0.5000 0.5000 0.5000
I 0.0000 0.0000 0.2758
I 0.0000 0.0000 0.7242
I 0.0845 0.7130 0.0000
I 0.2130 0.5845 0.5000
I 0.2870 0.0845 0.0000
I 0.4155 0.2130 0.5000
I 0.5000 0.5000 0.2242
I 0.5000 0.5000 0.7758
I 0.5845 0.7870 0.5000
I 0.7130 0.9155 0.0000
I 0.7870 0.4155 0.5000
I 0.9155 0.2870 0.0000

- N(E_F) (states/eV per cell) = 6.317
- space-group type = P4/mnc
- raw formation energy (eV per formula unit) = -11.70
- raw total energy (eV/atom) = -2.73

(5)
DFT (PBE-GGA) results for crystalline TlCu at its relaxed geometry.

a = 6.1408 Å, b = 6.1408 Å, c = 6.1408 Å
α = 90.00°, β = 90.00°, γ = 90.00°
Sites, in units of the cell vectors:
Tl 0.0000 0.0000 0.0000
Tl 0.0000 0.5000 0.5000
Tl 0.5000 0.0000 0.5000
Tl 0.5000 0.5000 0.0000
Cu 0.2500 0.2500 0.2500
Cu 0.2500 0.7500 0.7500
Cu 0.7500 0.2500 0.7500
Cu 0.7500 0.7500 0.2500

- N(E_F) (states/eV per cell) = 4.620
- space-group type = F-43m
- raw total energy (eV/atom) = -2.62
- formation enthalpy at 0 K (eV/atom) = 0.6125

(6)
DFT (PBE-GGA) results for crystalline RbBa3 at its relaxed geometry.

a = 6.5213 Å, b = 6.5213 Å, c = 6.5213 Å
α = 90.00°, β = 90.00°, γ = 90.00°
Sites, in units of the cell vectors:
Rb 0.0000 0.0000 0.0000
Ba 0.0000 0.5000 0.5000
Ba 0.5000 0.0000 0.5000
Ba 0.5000 0.5000 0.0000

- N(E_F) (states/eV per cell) = 4.867
- space-group type = Pm-3m
- raw total energy (eV/atom) = -1.56
- formation enthalpy at 0 K (eV/atom) = 0.1245
- energy above the most stable polymorph in this dataset (meV/atom) = 59

(7)
DFT (PBE-GGA) results for crystalline Sr2PmSbO6 at its relaxed geometry.

a = 5.9135 Å, b = 6.0269 Å, c = 10.2671 Å
α = 90.00°, β = 124.82°, γ = 90.00°
Sites, in units of the cell vectors:
Sr 0.2393 0.0404 0.2502
Sr 0.2393 0.4596 0.7502
Sr 0.7607 0.5404 0.2498
Sr 0.7607 0.9596 0.7498
Pm 0.5000 0.0000 0.0000
Pm 0.5000 0.5000 0.5000
Sb 0.0000 0.0000 0.5000
Sb 0.0000 0.5000 0.0000
O 0.1387 0.2270 0.9502
O 0.1387 0.2730 0.4502
O 0.2288 0.6928 0.9560
O 0.2288 0.8072 0.4560
O 0.3186 0.0300 0.7309
O 0.3186 0.4700 0.2309
O 0.6814 0.5300 0.7691
O 0.6814 0.9700 0.2691
O 0.7712 0.1928 0.5440
O 0.7712 0.3072 0.0440
O 0.8613 0.7270 0.5498
O 0.8613 0.7730 0.0498

- N(E_F) (states/eV per cell) = 0.000
- space-group type = P2_1/c
- raw formation energy (eV per formula unit) = -26.32
- raw total energy (eV/atom) = -6.83

(8)
DFT (PBE-GGA) results for crystalline NaSc2NbC at its relaxed geometry.

a = 4.6814 Å, b = 4.6814 Å, c = 4.3624 Å
α = 90.00°, β = 90.00°, γ = 90.00°
Sites, in units of the cell vectors:
Na 0.0000 0.0000 0.0000
Sc 0.0000 0.5000 0.5000
Sc 0.5000 0.0000 0.5000
Nb 0.5000 0.5000 0.0000
C 0.5000 0.5000 0.5000

- N(E_F) (states/eV per cell) = 6.159
- space-group type = P4/mmm
- raw total energy (eV/atom) = -6.52
- formation enthalpy at 0 K (eV/atom) = 0.1358

(9)
DFT (PBE-GGA) results for crystalline Pm6PrTh3 at its relaxed geometry.

a = 3.6121 Å, b = 12.5498 Å, c = 15.3036 Å
α = 86.00°, β = 89.96°, γ = 81.73°
Sites, in units of the cell vectors:
Pm 0.0142 0.4713 0.3824
Pm 0.1990 0.1015 0.4636
Pm 0.3038 0.8918 0.0682
Pm 0.3697 0.7606 0.6873
Pm 0.4104 0.6775 0.2324
Pm 0.4612 0.5772 0.8522
Pm 0.5388 0.4228 0.1478
Pm 0.5896 0.3225 0.7676
Pm 0.6303 0.2394 0.3127
Pm 0.6962 0.1082 0.9318
Pm 0.8010 0.8985 0.5364
Pm 0.9858 0.5287 0.6176
Pr 0.2175 0.0676 0.7083
Pr 0.7825 0.9324 0.2917
Th 0.0717 0.3572 0.9622
Th 0.1718 0.1565 0.1327
Th 0.3994 0.7017 0.4482
Th 0.6006 0.2983 0.5518
Th 0.8282 0.8435 0.8673
Th 0.9283 0.6428 0.0378

- N(E_F) (states/eV per cell) = 30.978
- space-group type = P-1
- raw total energy (eV/atom) = -5.44
- formation enthalpy at 0 K (eV/atom) = 0.1186

(10)
DFT (PBE-GGA) results for crystalline Hf2Ni5As3 at its relaxed geometry.

a = 11.5418 Å, b = 11.5418 Å, c = 6.4082 Å
α = 90.00°, β = 90.00°, γ = 160.64°
Sites, in units of the cell vectors:
Hf 0.0226 0.9774 0.5000
Hf 0.3243 0.6757 0.4996
Hf 0.6757 0.3243 0.9996
Hf 0.9774 0.0226 0.0000
Ni 0.0983 0.9017 0.8699
Ni 0.2036 0.7964 0.7115
Ni 0.2155 0.7845 0.3063
Ni 0.3764 0.6236 0.0421
Ni 0.4417 0.5583 0.6701
Ni 0.5583 0.4417 0.1701
Ni 0.6236 0.3764 0.5421
Ni 0.7845 0.2155 0.8063
Ni 0.7964 0.2036 0.2115
Ni 0.9017 0.0983 0.3699
As 0.1148 0.8852 0.2486
As 0.2707 0.7293 0.0048
As 0.4564 0.5436 0.2903
As 0.5436 0.4564 0.7903
As 0.7293 0.2707 0.5048
As 0.8852 0.1148 0.7486

- N(E_F) (states/eV per cell) = 10.933
- space-group type = Cmc2_1
- raw total energy (eV/atom) = -6.84
- formation enthalpy at 0 K (eV/atom) = -0.5670

(11)
DFT (PBE-GGA) results for crystalline TiPdW2I at its relaxed geometry.

a = 4.8533 Å, b = 4.8533 Å, c = 4.7713 Å
α = 90.00°, β = 90.00°, γ = 90.00°
Sites, in units of the cell vectors:
Ti 0.0000 0.0000 0.0000
Pd 0.0000 0.0000 0.5000
W 0.0000 0.5000 0.5000
W 0.5000 0.0000 0.5000
I 0.5000 0.5000 0.0000

- N(E_F) (states/eV per cell) = 5.742
- space-group type = P4/mmm
- raw formation energy (eV per formula unit) = 8.89
- raw total energy (eV/atom) = -6.33

(12)
DFT (PBE-GGA) results for crystalline AlCuTcO6 at its relaxed geometry.

a = 4.9371 Å, b = 4.9371 Å, c = 8.7504 Å
α = 90.00°, β = 90.00°, γ = 120.00°
Sites, in units of the cell vectors:
Al 0.3333 0.6667 0.2500
Al 0.6667 0.3333 0.7500
Cu 0.0000 0.0000 0.0000
Cu 0.0000 0.0000 0.5000
Tc 0.3333 0.6667 0.7500
Tc 0.6667 0.3333 0.2500
O 0.0015 0.3539 0.1319
O 0.0015 0.6476 0.3681
O 0.3524 0.3539 0.3681
O 0.3524 0.9985 0.1319
O 0.3539 0.0015 0.6319
O 0.3539 0.3524 0.8681
O 0.6461 0.6476 0.1319
O 0.6461 0.9985 0.3681
O 0.6476 0.0015 0.8681
O 0.6476 0.6461 0.6319
O 0.9985 0.3524 0.6319
O 0.9985 0.6461 0.8681

- N(E_F) (states/eV per cell) = 7.524
- space-group type = P-31c
- raw formation energy (eV per formula unit) = -12.78
- raw total energy (eV/atom) = -6.75